No. 1
The following is a DFT calculation (GGA-PBE) of an optimized crystal structure of KCr2Rh.

Calculated values
DFT total energy = -6.24 eV per atom
volume = 16.522 A^3/atom
offset from the most stable computed form = 0.1286 eV/atom

Cell lengths 2.9739, 4.6847, 9.4872 Å; angles 90.00, 90.00, 90.00 degrees
With the nearest neighbours (Å) after each atom.
Space group Cmm2 (No. 35)
Unique sites:
K (0.0000, 0.0000, 0.0000)  6 K 2.77-2.97
Cr (0.0000, 0.0000, 0.5037)  2 Cr 2.19
Cr (0.0000, 0.5000, 0.6730)  2 Cr 2.19
Rh (0.0000, 0.5000, 0.2878)  2 Cr 2.53, 4 Rh 2.77

No. 2
The following is a DFT calculation (GGA-PBE) of an optimized crystal structure of As4Ir3.

Calculated values
DFT total energy = -6.29 eV per atom
volume = 16.913 A^3/atom
offset from the most stable computed form = 0.0000 eV/atom

Cell lengths 3.4646, 3.4646, 19.7253 Å; angles 90.00, 90.00, 90.00 degrees
With the nearest neighbours (Å) after each atom.
Space group I4/mmm (No. 139)
Unique sites:
As (0.0000, 0.0000, 0.0667)  1 As 2.63, 5 Ir 2.72-2.78
As (0.0000, 0.0000, 0.3317)  5 Ir 2.51-2.55
Ir (0.0000, 0.0000, 0.2044)  6 As 2.51-2.72
Ir (0.0000, 0.0000, 0.5000)  8 As 2.78

No. 3
The following is a DFT calculation (GGA-PBE) of an optimized crystal structure of NaNbTeO5.

Calculated values
DFT total energy = -6.69 eV per atom
volume = 15.292 A^3/atom
formation energy (no corrections) = -14.24 eV per formula unit

Cell lengths 7.7356, 8.9549, 7.9916 Å; angles 90.00, 117.88, 90.00 degrees
With the nearest neighbours (Å) after each atom.
Space group C2/c (No. 15)
Unique sites:
Na (0.0000, 0.0652, 0.2500)  4 O 2.26-2.39
Nb (0.2500, 0.2500, 0.0000)  6 O 2.00-2.06
Te (0.0000, 0.4426, 0.2500)  4 O 1.94-2.15
O (0.0000, 0.2518, 0.7500)  2 Nb 2.03
O (0.0874, 0.2862, 0.1401)  1 Te 1.94, 1 Nb 2.06
O (0.2330, 0.0291, 0.0266)  1 Nb 2.00, 1 Te 2.15

No. 4
The following is a DFT calculation (GGA-PBE) of an optimized crystal structure of CeHfTi2.

Calculated values
DFT total energy = -7.79 eV per atom
volume = 21.000 A^3/atom
offset from the most stable computed form = 0.0000 eV/atom

Cell lengths 3.0342, 3.0342, 9.1238 Å; angles 90.00, 90.00, 90.00 degrees
With the nearest neighbours (Å) after each atom.
Space group P4/mmm (No. 123)
Unique sites:
Ce (0.0000, 0.0000, 0.0000)  4 Ce 3.03, 8 Ti 3.25
Hf (0.0000, 0.0000, 0.5000)  8 Ti 3.02, 4 Hf 3.03
Ti (0.5000, 0.5000, 0.2673)  4 Hf 3.02, 4 Ti 3.03, 4 Ce 3.25

No. 5
The following is a DFT calculation (GGA-PBE) of an optimized crystal structure of Ti3Ga3TcPd2.

Calculated values
DFT total energy = -6.44 eV per atom
volume = 15.823 A^3/atom

Cell lengths 7.3837, 7.3837, 3.0162 Å; angles 90.00, 90.00, 120.00 degrees
With the nearest neighbours (Å) after each atom.
Space group P-62m (No. 189)
Unique sites:
Ti (0.0000, 0.7206, 0.0000)  2 Tc 2.56, 2 Pd 2.68
Ga (0.0000, 0.3706, 0.5000)  1 Tc 2.74, 4 Pd 2.78, 6 Ti 2.89-2.99, 2 Ga 3.02
Tc (0.0000, 0.0000, 0.5000)  6 Ti 2.56, 3 Ga 2.74
Pd (0.3333, 0.6667, 0.0000)  3 Ti 2.68, 6 Ga 2.78

No. 6
The following is a DFT calculation (GGA-PBE) of an optimized crystal structure of CrMoPt.

Calculated values
DFT total energy = -8.71 eV per atom
volume = 14.671 A^3/atom
offset from the most stable computed form = 0.1615 eV/atom

Cell lengths 2.7327, 2.7327, 6.8058 Å; angles 90.00, 90.00, 120.00 degrees
With the nearest neighbours (Å) after each atom.
Space group P3m1 (No. 156)
Unique sites:
Cr (0.0000, 0.0000, 0.0000)  3 Pt 2.67, 6 Cr 2.73, 3 Mo 2.75
Mo (0.3333, 0.6667, 0.3316)  6 Mo 2.73, 3 Cr 2.75, 3 Pt 2.87
Pt (0.6667, 0.3333, 0.6841)  3 Cr 2.67, 6 Pt 2.73, 3 Mo 2.87

No. 7
The following is a DFT calculation (GGA-PBE) of an optimized crystal structure of ZrFe2Si.

Calculated values
DFT total energy = -7.98 eV per atom
volume = 14.216 A^3/atom
formation energy (no corrections) = -1.02 eV per formula unit

Cell lengths 2.9818, 2.9818, 6.3959 Å; angles 90.00, 90.00, 90.00 degrees
With the nearest neighbours (Å) after each atom.
Space group P4mm (No. 99)
Unique sites:
Zr (0.0000, 0.0000, 0.0000)  5 Fe 2.86-3.15, 4 Si 2.88, 4 Zr 2.98
Fe (0.0000, 0.0000, 0.5080)  4 Si 2.42, 4 Fe 2.49
Fe (0.5000, 0.5000, 0.3023)  4 Fe 2.49, 1 Si 2.51
Si (0.5000, 0.5000, 0.6943)  5 Fe 2.42-2.51

No. 8
The following is a DFT calculation (GGA-PBE) of an optimized crystal structure of NaLaSb2Au2.

Calculated values
DFT total energy = -4.21 eV per atom
volume = 26.537 A^3/atom
formation energy (no corrections) = -4.24 eV per formula unit

Cell lengths 4.7144, 4.7144, 8.2721 Å; angles 90.00, 90.00, 120.00 degrees
With the nearest neighbours (Å) after each atom.
Space group P-3m1 (No. 164)
Unique sites:
Na (0.0000, 0.0000, 0.0000)  6 Au 3.41, 6 Sb 3.46
La (0.0000, 0.0000, 0.5000)  6 Sb 3.38, 6 Au 3.43
Sb (0.3333, 0.6667, 0.7415)  3 Au 2.72
Au (0.3333, 0.6667, 0.2480)  3 Sb 2.72

No. 9
The following is a DFT calculation (GGA-PBE) of an optimized crystal structure of SiNi2H2.

Calculated values
DFT total energy = -4.74 eV per atom
volume = 8.595 A^3/atom
offset from the most stable computed form = 0.0794 eV/atom

Cell lengths 5.8195, 5.8195, 2.5380 Å; angles 90.00, 90.00, 90.00 degrees
With the nearest neighbours (Å) after each atom.
Space group P4/mbm (No. 127)
Unique sites:
Si (0.0000, 0.0000, 0.0000)  4 H 2.38, 8 Ni 2.43, 2 Si 2.54
Ni (0.2191, 0.2809, 0.5000)  2 H 1.58
H (0.1039, 0.3961, 0.0000)  2 Ni 1.58, 1 H 1.71

No. 10
The following is a DFT calculation (GGA-PBE) of an optimized crystal structure of Ho2Fe7.

Calculated values
DFT total energy = -7.68 eV per atom
volume = 14.645 A^3/atom

Cell lengths 5.0433, 5.0433, 35.9029 Å; angles 90.00, 90.00, 120.00 degrees
With the nearest neighbours (Å) after each atom.
Space group R-3m (No. 166, hexagonal axes)
Unique sites:
Ho (0.0000, 0.0000, 0.0523)  18 Fe 2.91-3.25
Ho (0.0000, 0.0000, 0.1495)  12 Fe 2.90-3.05, 3 Ho 3.16
Fe (0.0000, 0.0000, 0.2788)  6 Fe 2.44
Fe (0.0000, 0.0000, 0.3875)  6 Fe 2.43-2.46
Fe (0.0000, 0.0000, 0.5000)  6 Fe 2.52
Fe (0.0000, 0.5000, 0.0000)  8 Fe 2.43-2.52
Fe (0.9996, 0.4998, 0.1093)  7 Fe 2.44-2.52

No. 11
The following is a DFT calculation (GGA-PBE) of an optimized crystal structure of Sm3Dy7Er.

Calculated values
DFT total energy = -4.45 eV per atom
volume = 33.831 A^3/atom
offset from the most stable computed form = 0.0349 eV/atom

Cell lengths 7.0548, 7.0548, 8.6340 Å; angles 90.00, 90.00, 120.00 degrees
With the nearest neighbours (Å) after each atom.
Space group P3m1 (No. 156)
Unique sites:
Sm (0.0001, 0.5001, 0.0000)  4 Sm 3.53, 5 Dy 3.54-3.56, 1 Er 3.56
Dy (0.1676, 0.3353, 0.6633)  1 Er 3.46, 8 Dy 3.49-3.55, 2 Sm 3.55
Dy (0.3352, 0.1676, 0.3359)  7 Dy 3.47-3.55, 2 Er 3.53, 2 Sm 3.54
Dy (0.6667, 0.3333, 0.6616)  9 Dy 3.47-3.53, 3 Sm 3.56
Er (0.3333, 0.6667, 0.3381)  9 Dy 3.46-3.53, 3 Sm 3.56

No. 12
The following is a DFT calculation (GGA-PBE) of an optimized crystal structure of Ce6OsRu5.

Calculated values
DFT total energy = -8.05 eV per atom
volume = 21.080 A^3/atom
offset from the most stable computed form = 0.0000 eV/atom

Cell lengths 4.6118, 6.9796, 8.1770 Å; angles 90.01, 106.04, 90.12 degrees
With the nearest neighbours (Å) after each atom.
Space group P-1 (No. 2)
Unique sites:
Ce (0.9996, 0.2492, 0.9995)  6 Ru 2.89-3.11, 2 Os 2.89-2.90
Ce (0.3319, 0.2501, 0.6678)  2 Ru 2.55
Ce (0.3322, 0.7500, 0.6681)  2 Ru 2.55
Os (0.5000, 0.5000, 0.0000)  8 Ce 2.89-3.14, 2 Ru 3.12
Ru (0.0657, 0.0005, 0.3195)  2 Ce 2.55
Ru (0.2603, 0.4995, 0.3220)  2 Ce 2.55
Ru (0.5000, 0.0000, 0.0000)  8 Ce 2.89-3.14, 2 Ru 3.14